No. 1
# Ca2GeCl PBE optimized geometry
# - D(E_F): 4.911 states/eV per cell
# - Calculated volume: 331.59 Å³/cell
# - E_form (uncorrected): -1.103 eV per atom
# - Offset from the most stable computed form: 52 meV/atom
# - Uncorrected energy: -3.720 eV per atom
data_Ca2GeCl
_chemical_formula_sum 'Ca6 Ge3 Cl3'
_symmetry_space_group_name_H-M 'R 3 m'
_symmetry_Int_Tables_number 160
_symmetry_space_group_name_Hall 'R 3 -2"'
_cell_length_a 4.0641
_cell_length_b 4.0641
_cell_length_c 23.1816
_cell_angle_alpha 90.00
_cell_angle_beta 90.00
_cell_angle_gamma 120.00
loop_
_atom_site_label
_atom_site_type_symbol
_atom_site_fract_x
_atom_site_fract_y
_atom_site_fract_z
Ca1 Ca 0.0000 0.0000 0.0000
Ca2 Ca 0.0000 0.0000 0.1808
Ge1 Ge 0.0000 0.0000 0.5908
Cl1 Cl 0.0000 0.0000 0.7628

***

No. 2
# CaGeCl4 PBE optimized geometry
# - D(E_F): 0.000 states/eV per cell
# - Calculated volume: 674.79 Å³/cell
# - E_form (uncorrected): -1.571 eV per atom
# - Uncorrected energy: -3.905 eV per atom
data_CaGeCl4
_chemical_formula_sum 'Ca4 Ge4 Cl16'
_symmetry_space_group_name_H-M 'I 41 m d'
_symmetry_Int_Tables_number 109
_symmetry_space_group_name_Hall 'I 4bw -2'
_cell_length_a 9.060
_cell_length_b 9.060
_cell_length_c 8.221
_cell_angle_alpha 90.00
_cell_angle_beta 90.00
_cell_angle_gamma 90.00
loop_
_atom_site_label
_atom_site_type_symbol
_atom_site_fract_x
_atom_site_fract_y
_atom_site_fract_z
Ca1 Ca 0.000 0.000 0.000
Ge1 Ge 0.000 0.000 0.500
Cl1 Cl 0.000 0.195 0.256
Cl2 Cl 0.000 0.199 0.745

***

No. 3
# Ca2GeCl6 PBE optimized geometry
# - D(E_F): 0.000 states/eV per cell
# - Calculated volume: 851.30 Å³/cell
# - E_form (uncorrected): -1.819 eV per atom
# - Uncorrected energy: -4.008 eV per atom
data_Ca2GeCl6
_chemical_formula_sum 'Ca6 Ge3 Cl18'
_symmetry_space_group_name_H-M 'R -3'
_symmetry_Int_Tables_number 148
_symmetry_space_group_name_Hall '-R 3'
_cell_length_a 7.0688
_cell_length_b 7.0688
_cell_length_c 19.6722
_cell_angle_alpha 90.00
_cell_angle_beta 90.00
_cell_angle_gamma 120.00
loop_
_atom_site_label
_atom_site_type_symbol
_atom_site_fract_x
_atom_site_fract_y
_atom_site_fract_z
Ca1 Ca 0.0000 0.0000 0.1851
Ge1 Ge 0.0000 0.0000 0.0000
Cl1 Cl 0.0098 0.7125 0.9118

***

No. 4
# Ca3GeCl3 PBE optimized geometry
# - D(E_F): 19.093 states/eV per cell
# - Calculated volume: 1591.00 Å³/cell
# - E_form (uncorrected): -1.676 eV per atom
# - Uncorrected energy: -3.985 eV per atom
data_Ca3GeCl3
_chemical_formula_sum 'Ca24 Ge8 Cl24'
_symmetry_space_group_name_H-M 'I 41 3 2'
_symmetry_Int_Tables_number 214
_symmetry_space_group_name_Hall 'I 4bd 2c 3'
_cell_length_a 11.674
_cell_length_b 11.674
_cell_length_c 11.674
_cell_angle_alpha 90.00
_cell_angle_beta 90.00
_cell_angle_gamma 90.00
loop_
_atom_site_label
_atom_site_type_symbol
_atom_site_fract_x
_atom_site_fract_y
_atom_site_fract_z
Ca1 Ca 0.122 0.125 0.872
Ge1 Ge 0.125 0.125 0.125
Cl1 Cl 0.123 0.375 0.373

***

No. 5
# CaGe2Cl8 PBE optimized geometry
# - Calculated volume: 802.31 Å³/cell
# - E_form (uncorrected): -1.116 eV per atom
# - Uncorrected energy: -3.480 eV per atom
data_CaGe2Cl8
_chemical_formula_sum 'Ca2 Ge4 Cl16'
_symmetry_space_group_name_H-M 'C 1 2/m 1'
_symmetry_Int_Tables_number 12
_cell_length_a 12.235
_cell_length_b 10.269
_cell_length_c 6.495
_cell_angle_alpha 90.00
_cell_angle_beta 100.54
_cell_angle_gamma 90.00
loop_
_symmetry_equiv_pos_as_xyz
'x,y,z'
'-x,-y,-z'
'-x,y,-z'
'x,-y,z'
'x+1/2,y+1/2,z'
'-x+1/2,-y+1/2,-z'
'-x+1/2,y+1/2,-z'
'x+1/2,-y+1/2,z'
loop_
_atom_site_label
_atom_site_type_symbol
_atom_site_fract_x
_atom_site_fract_y
_atom_site_fract_z
Ca1 Ca 0.000 0.000 0.000
Ge1 Ge 0.223 0.000 0.683
Cl1 Cl 0.097 0.500 0.126
Cl2 Cl 0.114 0.169 0.779
Cl3 Cl 0.190 0.000 0.307

***

No. 6
# Ca2GeCl PBE optimized geometry
# - D(E_F): 0.465 states/eV per cell
# - Calculated volume: 473.93 Å³/cell
# - E_form (uncorrected): -0.931 eV per atom
# - Offset from the most stable computed form: 224 meV/atom
# - Uncorrected energy: -3.548 eV per atom
data_Ca2GeCl
_chemical_formula_sum 'Ca8 Ge4 Cl4'
_symmetry_space_group_name_H-M 'I -4 2 d'
_symmetry_Int_Tables_number 122
_symmetry_space_group_name_Hall 'I -4 2bw'
_cell_length_a 7.545
_cell_length_b 7.545
_cell_length_c 8.325
_cell_angle_alpha 90.00
_cell_angle_beta 90.00
_cell_angle_gamma 90.00
loop_
_atom_site_label
_atom_site_type_symbol
_atom_site_fract_x
_atom_site_fract_y
_atom_site_fract_z
Ca1 Ca 0.238 0.750 0.125
Ge1 Ge 0.000 0.000 0.500
Cl1 Cl 0.000 0.000 0.000

***

No. 7
# CaGe2Cl6 PBE optimized geometry
# - D(E_F): 0.000 states/eV per cell
# - Calculated volume: 565.60 Å³/cell
# - E_form (uncorrected): -1.324 eV per atom
# - Offset from the most stable computed form: 0 meV/atom
# - Uncorrected energy: -3.803 eV per atom
data_CaGe2Cl6
_chemical_formula_sum 'Ca2 Ge4 Cl12'
_symmetry_space_group_name_H-M 'P 1 21/c 1'
_symmetry_Int_Tables_number 14
_cell_length_a 7.114
_cell_length_b 6.708
_cell_length_c 13.708
_cell_angle_alpha 90.00
_cell_angle_beta 120.16
_cell_angle_gamma 90.00
loop_
_symmetry_equiv_pos_as_xyz
'x,y,z'
'-x,-y,-z'
'-x,y+1/2,-z+1/2'
'x,-y+1/2,z+1/2'
loop_
_atom_site_label
_atom_site_type_symbol
_atom_site_fract_x
_atom_site_fract_y
_atom_site_fract_z
Ca1 Ca 0.000 0.000 0.000
Ge1 Ge 0.322 0.048 0.822
Cl1 Cl 0.073 0.239 0.857
Cl2 Cl 0.302 0.228 0.178
Cl3 Cl 0.357 0.713 0.529

***

No. 8
# Ca2GeCl PBE optimized geometry
# - D(E_F): 21.543 states/eV per cell
# - Calculated volume: 403.51 Å³/cell
# - E_form (uncorrected): -0.897 eV per atom
# - Offset from the most stable computed form: 258 meV/atom
# - Uncorrected energy: -3.514 eV per atom
data_Ca2GeCl
_chemical_formula_sum 'Ca8 Ge4 Cl4'
_symmetry_space_group_name_H-M 'F m -3 m'
_symmetry_Int_Tables_number 225
_symmetry_space_group_name_Hall '-F 4 2 3'
_cell_length_a 7.390
_cell_length_b 7.390
_cell_length_c 7.390
_cell_angle_alpha 90.00
_cell_angle_beta 90.00
_cell_angle_gamma 90.00
loop_
_atom_site_label
_atom_site_type_symbol
_atom_site_fract_x
_atom_site_fract_y
_atom_site_fract_z
Ca1 Ca 0.250 0.250 0.250
Ge1 Ge 0.000 0.000 0.000
Cl1 Cl 0.000 0.000 0.500

***

No. 9
# CaInGe2Cl PBE optimized geometry
# - D(E_F): 2.661 states/eV per cell
# - Calculated volume: 169.49 Å³/cell
# - E_form (uncorrected): 0.132 eV per atom
# - Uncorrected energy: -3.032 eV per atom
data_CaInGe2Cl
_chemical_formula_sum 'Ca1 In1 Ge2 Cl1'
_symmetry_space_group_name_H-M 'P 4/m m m'
_symmetry_Int_Tables_number 123
_symmetry_space_group_name_Hall '-P 4 2'
_cell_length_a 5.132
_cell_length_b 5.132
_cell_length_c 6.436
_cell_angle_alpha 90.00
_cell_angle_beta 90.00
_cell_angle_gamma 90.00
loop_
_atom_site_label
_atom_site_type_symbol
_atom_site_fract_x
_atom_site_fract_y
_atom_site_fract_z
Ca1 Ca 0.000 0.000 0.000
In1 In 0.000 0.000 0.500
Ge1 Ge 0.000 0.500 0.500
Cl1 Cl 0.500 0.500 0.000

***

No. 10
# CaGeIrCl2 PBE optimized geometry
# - D(E_F): 4.300 states/eV per cell
# - Calculated volume: 128.23 Å³/cell
# - E_form (uncorrected): 0.143 eV per atom
# - Uncorrected energy: -3.692 eV per atom
data_CaGeIrCl2
_chemical_formula_sum 'Ca1 Ge1 Ir1 Cl2'
_symmetry_space_group_name_H-M 'P 4/m m m'
_symmetry_Int_Tables_number 123
_symmetry_space_group_name_Hall '-P 4 2'
_cell_length_a 4.722
_cell_length_b 4.722
_cell_length_c 5.752
_cell_angle_alpha 90.00
_cell_angle_beta 90.00
_cell_angle_gamma 90.00
loop_
_atom_site_label
_atom_site_type_symbol
_atom_site_fract_x
_atom_site_fract_y
_atom_site_fract_z
Ca1 Ca 0.000 0.000 0.000
Ge1 Ge 0.500 0.500 0.000
Ir1 Ir 0.000 0.000 0.500
Cl1 Cl 0.000 0.500 0.500